# 1
Density functional theory data (PBE) for a relaxed PrNdY6Ho2 crystal.

Summary:
ΔH_f (0 K): 11.5 kJ/mol of atoms
total DFT energy (no corrections): -5.63 eV/atom
magnetic moment: 0.00 μB per cell
space group: C2/c (15)

Geometry as POSCAR:
```
PrNdY6Ho2
1.0
4.629 -7.535 0.000
4.629 7.535 0.000
-1.148 0.000 9.521
Pr Nd Y Ho
2 2 12 4
Direct
0.030 0.970 0.750 Pr
0.970 0.030 0.250 Pr
0.409 0.591 0.250 Nd
0.591 0.409 0.750 Nd
0.017 0.564 0.681 Y
0.117 0.755 0.057 Y
0.245 0.883 0.443 Y
0.294 0.515 0.885 Y
0.436 0.983 0.819 Y
0.485 0.706 0.615 Y
0.515 0.294 0.385 Y
0.564 0.017 0.181 Y
0.706 0.485 0.115 Y
0.755 0.117 0.557 Y
0.883 0.245 0.943 Y
0.983 0.436 0.319 Y
0.196 0.298 0.550 Ho
0.298 0.196 0.050 Ho
0.702 0.804 0.950 Ho
0.804 0.702 0.450 Ho
```

# 2
Density functional theory data (PBE) for a relaxed Pr3Nd2Y6Ho crystal.

Summary:
ΔH_f (0 K): 1.1 kJ/mol of atoms
total DFT energy (no corrections): -5.59 eV/atom
magnetic moment: 0.00 μB per cell
space group: C2/m (12)

Geometry as POSCAR:
```
Pr3Nd2Y6Ho
1.0
3.142 -5.441 0.000
3.142 5.441 0.000
-2.087 0.000 11.731
Pr Nd Y Ho
3 2 6 1
Direct
0.000 0.000 0.000 Pr
0.333 0.667 0.000 Pr
0.667 0.333 0.000 Pr
0.166 0.834 0.500 Nd
0.834 0.166 0.500 Nd
0.085 0.418 0.252 Y
0.250 0.250 0.748 Y
0.418 0.085 0.252 Y
0.582 0.915 0.748 Y
0.750 0.750 0.252 Y
0.915 0.582 0.748 Y
0.500 0.500 0.500 Ho
```

# 3
Density functional theory data (PBE) for a relaxed PrNd2Y2Ho2 crystal.

Summary:
ΔH_f (0 K): 1.7 kJ/mol of atoms
total DFT energy (no corrections): -5.18 eV/atom
magnetic moment: 0.00 μB per cell
space group: C2/m (12)

Geometry as POSCAR:
```
PrNd2Y2Ho2
1.0
5.691 -2.554 0.000
5.691 2.554 0.000
-1.121 0.000 8.009
Pr Nd Y Ho
1 2 2 2
Direct
0.000 0.000 0.000 Pr
0.428 0.428 0.288 Nd
0.572 0.572 0.712 Nd
0.286 0.286 0.854 Y
0.714 0.714 0.146 Y
0.143 0.143 0.431 Ho
0.857 0.857 0.569 Ho
```

# 4
Density functional theory data (PBE) for a relaxed Pr3NdY6Ho2 crystal.

Summary:
ΔH_f (0 K): 1.5 kJ/mol of atoms
total DFT energy (no corrections): -5.57 eV/atom
magnetic moment: 0.00 μB per cell
space group: C2/m (12)

Geometry as POSCAR:
```
Pr3NdY6Ho2
1.0
3.130 -5.419 0.000
3.130 5.419 0.000
-2.078 0.000 11.721
Pr Nd Y Ho
3 1 6 2
Direct
0.000 0.000 0.000 Pr
0.333 0.667 0.000 Pr
0.667 0.333 0.000 Pr
0.500 0.500 0.500 Nd
0.084 0.418 0.253 Y
0.248 0.248 0.747 Y
0.418 0.084 0.253 Y
0.582 0.916 0.747 Y
0.752 0.752 0.253 Y
0.916 0.582 0.747 Y
0.167 0.833 0.500 Ho
0.833 0.167 0.500 Ho
```

# 5
Density functional theory data (PBE) for a relaxed PrNdYHo2 crystal.

Summary:
ΔH_f (0 K): 35.9 kJ/mol of atoms
total DFT energy (no corrections): -4.66 eV/atom
magnetic moment: 0.00 μB per cell
space group: Cmcm (63)

Geometry as POSCAR:
```
PrNdYHo2
1.0
4.215 -5.824 0.000
4.215 5.824 0.000
0.000 0.000 7.197
Pr Nd Y Ho
2 2 2 4
Direct
0.224 0.776 0.750 Pr
0.776 0.224 0.250 Pr
0.491 0.509 0.750 Nd
0.509 0.491 0.250 Nd
0.226 0.774 0.250 Y
0.774 0.226 0.750 Y
0.187 0.187 0.000 Ho
0.187 0.187 0.500 Ho
0.813 0.813 0.000 Ho
0.813 0.813 0.500 Ho
```

# 6
Density functional theory data (PBE) for a relaxed PrNdHoZn crystal.

Summary:
ΔH_f (0 K): -14.9 kJ/mol of atoms
total DFT energy (no corrections): -4.00 eV/atom
magnetic moment: 0.00 μB per cell
space group: P4mm (99)

Geometry as POSCAR:
```
PrNdHoZn
1.0
3.641 0.000 0.000
0.000 3.641 0.000
0.000 0.000 8.814
Pr Nd Ho Zn
1 1 1 1
Direct
0.000 0.000 0.000 Pr
0.500 0.500 0.696 Nd
0.500 0.500 0.289 Ho
0.000 0.000 0.476 Zn
```

# 7
Density functional theory data (PBE) for a relaxed PrNdHoZn crystal.

Summary:
ΔH_f (0 K): 2.5 kJ/mol of atoms
total DFT energy (no corrections): -3.82 eV/atom
magnetic moment: 0.00 μB per cell
space group: F-43m (216)

Geometry as POSCAR:
```
PrNdHoZn
1.0
0.000 3.862 3.862
3.862 0.000 3.862
3.862 3.862 0.000
Pr Nd Ho Zn
1 1 1 1
Direct
0.000 0.000 0.000 Pr
0.500 0.500 0.500 Nd
0.250 0.250 0.250 Ho
0.750 0.750 0.750 Zn
```

# 8
Density functional theory data (PBE) for a relaxed PrNdHoZr crystal.

Summary:
ΔH_f (0 K): 24.7 kJ/mol of atoms
total DFT energy (no corrections): -5.41 eV/atom
magnetic moment: 1.63 μB per cell
space group: F-43m (216)

Geometry as POSCAR:
```
PrNdHoZr
1.0
0.000 3.952 3.952
3.952 0.000 3.952
3.952 3.952 0.000
Pr Nd Ho Zr
1 1 1 1
Direct
0.000 0.000 0.000 Pr
0.750 0.750 0.750 Nd
0.250 0.250 0.250 Ho
0.500 0.500 0.500 Zr
```